ZrScCdOs2 after structural relaxation. Source: Alexandria, functional GGA-PBE.

Lattice parameters (Å, degrees): 4.831 4.831 5.217 90.00 90.00 90.00
Space group P4/mmm (No. 123)
Symmetry-distinct sites (fractional):
Zr 0.000 0.000 0.000
Sc 0.500 0.500 0.500
Cd 0.000 0.000 0.500
Os 0.000 0.500 0.000

## Properties
Crystal system: tetragonal
Calculated total energy, eV per atom: -6.26
Calculated volume, A^3/atom: 24.35